No. 1
16
Lattice="-3.818 3.818 6.082 3.818 -3.818 6.082 3.818 3.818 -6.082" Properties=species:S:1:pos:R:3 comment="PBE Sc5Al2In, relaxed" e_tot_ev_per_atom=-5.58 vol_a3_per_atom=22.167 dos_at_fermi_per_ev_atom=1.08 magnetic_moment_mub_per_atom=0.000 pbc="T T T"
Sc 0.000 0.000 0.000
Sc 5.009 1.191 -1.836
Sc 1.191 2.628 -1.836
Sc 5.009 1.191 1.836
Sc 1.191 2.628 1.836
Sc 0.000 0.000 6.082
Sc 2.628 1.191 4.246
Sc -1.191 2.628 4.246
Sc 2.628 1.191 7.918
Sc -1.191 2.628 7.918
Al 2.765 1.053 0.000
Al 2.765 -1.053 6.082
Al 1.053 4.871 0.000
Al 1.053 2.765 6.082
In 0.000 0.000 3.041
In 0.000 0.000 9.123

No. 2
5
Lattice="5.461 0.000 0.000 0.000 5.461 0.000 0.000 0.000 3.465" Properties=species:S:1:pos:R:3 comment="PBE La2BeGaC, relaxed" e_tot_ev_per_atom=-5.43 vol_a3_per_atom=20.670 dos_at_fermi_per_ev_atom=0.54 magnetic_moment_mub_per_atom=0.000 pbc="T T T"
La 0.000 2.731 0.000
La 2.731 0.000 0.000
Be 0.000 0.000 1.732
Ga 2.731 2.731 1.732
C 0.000 0.000 0.000

No. 3
10
Lattice="8.476 -2.879 0.000 8.476 2.879 0.000 -1.506 0.000 6.922" Properties=species:S:1:pos:R:3 comment="PBE La3Y7, relaxed" e_tot_ev_per_atom=-5.96 vol_a3_per_atom=33.778 dos_at_fermi_per_ev_atom=1.45 magnetic_moment_mub_per_atom=0.000 pbc="T T T"
La 0.000 0.000 0.000
La 2.364 0.000 5.874
La 13.081 0.000 1.048
Y -0.753 0.000 3.461
Y 3.001 0.000 2.469
Y 6.441 0.000 1.392
Y 5.813 0.000 4.795
Y 9.633 0.000 2.126
Y 9.004 0.000 5.530
Y 12.445 0.000 4.453

No. 4
42
Lattice="10.379 0.000 0.000 -5.190 8.989 0.000 0.000 0.000 7.397" Properties=species:S:1:pos:R:3 comment="PBE As3P3Pb10Cl2O24, relaxed" e_tot_ev_per_atom=-6.12 vol_a3_per_atom=16.432 dos_at_fermi_per_ev_atom=0.00 e_form_raw_ev_per_atom=-1.60 magnetic_moment_mub_per_atom=0.000 pbc="T T T"
As -2.917 6.392 0.000
As 1.112 3.266 0.000
As 1.805 8.319 0.000
P -1.035 2.717 3.699
P -2.319 8.527 3.699
P 3.354 6.734 3.699
Pb 0.000 0.000 1.840
Pb 0.000 0.000 5.557
Pb 0.000 5.993 1.927
Pb 0.000 5.993 5.470
Pb 2.619 2.750 3.699
Pb 4.008 0.666 0.000
Pb 3.762 5.185 0.000
Pb 6.688 0.893 3.699
Pb 6.262 5.346 3.699
Pb 7.799 3.138 0.000
Cl 5.190 2.996 1.841
Cl 5.190 2.996 5.556
O -4.278 7.435 0.000
O -2.853 5.342 1.368
O -2.853 5.342 6.029
O -3.684 7.725 3.699
O 0.342 1.936 3.699
O -0.785 4.244 3.699
O 0.889 1.567 0.000
O -0.401 4.132 0.000
O -1.411 7.270 0.000
O 2.851 0.471 2.443
O 2.851 0.471 4.954
O -1.122 7.547 3.699
O 1.990 3.847 1.368
O 1.990 3.847 6.029
O 1.907 6.187 3.699
O 1.812 6.576 0.000
O 0.863 8.789 1.368
O 0.863 8.789 6.029
O 4.172 6.284 2.443
O 4.172 6.284 4.954
O 3.342 8.317 3.699
O 3.388 8.976 0.000
O 8.546 2.234 2.443
O 8.546 2.234 4.954

No. 5
6
Lattice="3.199 0.000 0.000 0.000 4.851 0.000 0.000 0.000 9.354" Properties=species:S:1:pos:R:3 comment="PBE NaZrAl, relaxed" polymorph_energy_mev_per_atom=99 e_tot_ev_per_atom=-4.53 vol_a3_per_atom=24.191 dos_at_fermi_per_ev_atom=0.21 magnetic_moment_mub_per_atom=0.000 pbc="T T T"
Na 0.000 0.000 0.000
Na 1.600 2.425 1.656
Zr 0.000 2.425 4.624
Zr 1.600 2.425 7.148
Al 0.000 0.000 6.339
Al 1.600 0.000 4.038

No. 6
12
Lattice="3.096 -5.366 0.000 3.096 5.366 0.000 -2.075 0.000 11.506" Properties=species:S:1:pos:R:3 comment="PBE Pm6Ho3Tm2Mg, relaxed" e_tot_ev_per_atom=-4.37 vol_a3_per_atom=31.858 dos_at_fermi_per_ev_atom=1.04 magnetic_moment_mub_per_atom=0.000 pbc="T T T"
Pm 1.025 1.788 2.848
Pm -0.003 0.000 8.642
Pm 1.025 -1.788 2.848
Pm 3.092 1.788 8.658
Pm 4.120 0.000 2.863
Pm 3.092 -1.788 8.658
Ho 2.058 3.578 5.753
Ho 2.058 0.000 5.753
Ho 2.058 -3.578 5.753
Tm 3.096 1.785 0.000
Tm 3.096 -1.785 0.000
Mg 0.000 0.000 0.000

No. 7
5
Lattice="5.801 0.000 0.000 0.000 5.801 0.000 0.000 0.000 4.232" Properties=species:S:1:pos:R:3 comment="PBE BaLiI2O, relaxed" polymorph_energy_mev_per_atom=0 e_tot_ev_per_atom=-3.54 vol_a3_per_atom=28.479 dos_at_fermi_per_ev_atom=0.74 e_form_raw_ev_per_atom=-1.16 magnetic_moment_mub_per_atom=0.200 pbc="T T T"
Ba 0.000 0.000 0.000
Li 2.900 2.900 2.116
I 0.000 2.900 2.116
I 2.900 0.000 2.116
O 2.900 2.900 0.000

No. 8
18
Lattice="4.904 -8.461 0.000 4.904 8.461 0.000 0.000 0.000 7.059" Properties=species:S:1:pos:R:3 comment="PBE Tb2Sm4Dy3, relaxed" polymorph_energy_mev_per_atom=39 e_tot_ev_per_atom=-4.61 vol_a3_per_atom=32.546 dos_at_fermi_per_ev_atom=1.48 magnetic_moment_mub_per_atom=0.000 pbc="T T T"
Tb 1.822 2.714 0.000
Tb 1.822 -2.714 3.530
Tb 7.986 2.714 3.530
Tb 7.986 -2.714 0.000
Sm 3.449 5.532 3.530
Sm 3.282 0.238 3.530
Sm 6.359 5.532 0.000
Sm 3.282 -0.238 0.000
Sm 6.526 0.238 0.000
Sm 3.449 -5.532 0.000
Sm 6.526 -0.238 3.530
Sm 6.359 -5.532 3.530
Dy 0.000 0.000 1.765
Dy 0.000 0.000 5.294
Dy 4.904 2.859 1.765
Dy 4.904 2.859 5.294
Dy 4.904 -2.859 1.765
Dy 4.904 -2.859 5.294